1.
A plane-wave DFT calculation with PBE was carried out for a geometry-optimized TeRu2Cl structure.

For the uncorrected energy, the calculation gives -22.98 eV per cell. The calculation puts the relative energy among the computed polymorphs at 0 meV/atom.

It has space group Pm (No. 6), with a = 2.8964 Å, b = 3.5807 Å, c = 8.2254 Å, α = 90.00°, β = 90.39° and γ = 90.00°. Symmetry generates all atoms from Te at (0.0000, 0.0000, 0.0000), Ru at (0.0047, 0.5000, 0.2364), Ru at (0.5075, 0.0000, 0.3871) and Cl at (0.5111, 0.5000, 0.5867).

***

2.
A plane-wave DFT calculation with PBE was carried out for a geometry-optimized NaPu2CrN4 structure.

For the uncorrected energy, the calculation gives -318.64 eV per cell.

It has space group Cmcm (No. 63), with a = 3.4519 Å, b = 12.0499 Å, c = 11.6818 Å, α = 90.00°, β = 90.00° and γ = 90.00°. Symmetry generates all atoms from Na at (0.0000, 0.0722, 0.2500), Pu at (0.0000, 0.3710, 0.0440), Cr at (0.0000, 0.1877, 0.7500), N at (0.0000, 0.0000, 0.0000), N at (0.0000, 0.2476, 0.6056) and N at (0.0000, 0.3894, 0.2500).

***

3.
A plane-wave DFT calculation with PBE was carried out for a geometry-optimized Th2Sc2C3 structure.

For the uncorrected energy, the calculation gives -115.69 eV per cell. For the formation energy, the calculation gives -0.38 eV/atom.

It has space group C2/m (No. 12), with a = 12.3372 Å, b = 3.6800 Å, c = 6.0360 Å, α = 90.00°, β = 108.37° and γ = 90.00°. Symmetry generates all atoms from Th at (0.1130, 0.0000, 0.3509), Sc at (0.1545, 0.5000, 0.8419), C at (0.0000, 0.5000, 0.5000) and C at (0.2499, 0.0000, 0.7535).

***

4.
A plane-wave DFT calculation with PBE was carried out for a geometry-optimized Ca2PIr structure.

For the uncorrected energy, the calculation gives -20.05 eV per cell. For the formation energy, the calculation gives -0.44 eV/atom.

It has space group P4/mmm (No. 123), with a = 4.5374 Å, b = 4.5374 Å, c = 3.8991 Å, α = 90.00°, β = 90.00° and γ = 90.00°. Symmetry generates all atoms from Ca at (0.0000, 0.5000, 0.0000), P at (0.0000, 0.0000, 0.5000) and Ir at (0.5000, 0.5000, 0.5000).

***

5.
A plane-wave DFT calculation with PBE was carried out for a geometry-optimized TmCdTe2 structure.

For the uncorrected energy, the calculation gives -43.65 eV per cell. The calculation puts the relative energy among the computed polymorphs at 67 meV/atom.

It has space group R-3m (No. 166, hexagonal axes), with a = 4.3566 Å, b = 4.3566 Å, c = 27.6239 Å, α = 90.00°, β = 90.00° and γ = 120.00°. Symmetry generates all atoms from Tm at (0.0000, 0.0000, 0.0000), Cd at (0.0000, 0.0000, 0.5000) and Te at (0.0000, 0.0000, 0.3949).

***

6.
A plane-wave DFT calculation with PBE was carried out for a geometry-optimized AgSnSe2 structure.

For the uncorrected energy, the calculation gives -43.55 eV per cell.

It has space group R3m (No. 160, hexagonal axes), with a = 3.9586 Å, b = 3.9586 Å, c = 21.1086 Å, α = 90.00°, β = 90.00° and γ = 120.00°. Symmetry generates all atoms from Ag at (0.0000, 0.0000, 0.0000), Sn at (0.0000, 0.0000, 0.1686), Se at (0.0000, 0.0000, 0.4135) and Se at (0.0000, 0.0000, 0.5910).

***

7.
A plane-wave DFT calculation with PBE was carried out for a geometry-optimized LiY2CoRh structure.

For the uncorrected energy, the calculation gives -28.98 eV per cell. For the formation energy, the calculation gives 0.06 eV/atom.

It has space group P4/mmm (No. 123), with a = 5.1675 Å, b = 5.1675 Å, c = 4.4884 Å, α = 90.00°, β = 90.00° and γ = 90.00°. Symmetry generates all atoms from Li at (0.0000, 0.0000, 0.0000), Y at (0.0000, 0.5000, 0.5000), Co at (0.5000, 0.5000, 0.5000) and Rh at (0.5000, 0.5000, 0.0000).

***

8.
A plane-wave DFT calculation with PBE was carried out for a geometry-optimized Pm2PaPb structure.

For the uncorrected energy, the calculation gives -22.81 eV per cell. The calculation puts the relative energy among the computed polymorphs at 37 meV/atom. For the formation energy, the calculation gives -0.03 eV/atom.

It has space group P4/mmm (No. 123), with a = 3.9478 Å, b = 3.9478 Å, c = 7.4344 Å, α = 90.00°, β = 90.00° and γ = 90.00°. Symmetry generates all atoms from Pm at (0.0000, 0.0000, 0.2360), Pa at (0.5000, 0.5000, 0.5000) and Pb at (0.5000, 0.5000, 0.0000).

***

9.
A plane-wave DFT calculation with PBE was carried out for a geometry-optimized Ac2BeSnO6 structure.

For the uncorrected energy, the calculation gives -143.38 eV per cell.

It has space group C2/m (No. 12), with a = 9.7429 Å, b = 5.6154 Å, c = 5.6657 Å, α = 90.00°, β = 125.40° and γ = 90.00°. Symmetry generates all atoms from Ac at (0.2490, 0.0000, 0.2467), Be at (0.0000, 0.5000, 0.0000), Sn at (0.0000, 0.0000, 0.5000), O at (0.0260, 0.2591, 0.7858) and O at (0.2402, 0.5000, 0.2896).

***

10.
A plane-wave DFT calculation with PBE was carried out for a geometry-optimized Ac3La4HoTe8 structure.

For the uncorrected energy, the calculation gives -257.05 eV per cell.

It has space group R-3m (No. 166, hexagonal axes), with a = 9.2354 Å, b = 9.2354 Å, c = 22.5743 Å, α = 90.00°, β = 90.00° and γ = 120.00°. Symmetry generates all atoms from Ac at (0.0000, 0.5000, 0.0000), La at (0.0000, 0.0000, 0.5000), La at (0.0000, 0.5000, 0.5000), Ho at (0.0000, 0.0000, 0.0000), Te at (0.0000, 0.0000, 0.2467) and Te at (0.0141, 0.5071, 0.7497).

***

Q: Among the records above, which one has the lowest uncorrected energy?
A: NaPu2CrN4

***

Q: Look up the uncorrected energy of the sixth one.
A: -43.55 eV per cell